(1)
DFT (PBE) results for a relaxed Ba2ThSnS6 crystal.

Summary:
* raw formation energy: -1.545 eV/atom
* E_tot: -5.548 eV/atom

Unit cell a=7.229 b=7.438 c=12.578 alpha=90.00 beta=124.57 gamma=90.00
Element x y z (fractional)
Ba (0.231, 0.061, 0.248)
Ba (0.231, 0.439, 0.748)
Ba (0.769, 0.561, 0.252)
Ba (0.769, 0.939, 0.752)
Th (0.500, 0.000, 0.000)
Th (0.500, 0.500, 0.500)
Sn (0.000, 0.000, 0.500)
Sn (0.000, 0.500, 0.000)
S (0.153, 0.212, 0.958)
S (0.153, 0.288, 0.458)
S (0.245, 0.697, 0.957)
S (0.245, 0.803, 0.457)
S (0.323, 0.014, 0.742)
S (0.323, 0.486, 0.242)
S (0.677, 0.514, 0.758)
S (0.677, 0.986, 0.258)
S (0.755, 0.197, 0.543)
S (0.755, 0.303, 0.043)
S (0.847, 0.712, 0.542)
S (0.847, 0.788, 0.042)

=====

(2)
DFT (PBE) results for a relaxed Sr4Li3Cu crystal.

Summary:
* E_tot: -2.058 eV/atom
* formation enthalpy at 0 K: 13 meV/atom

Unit cell a=4.654 b=4.789 c=12.668 alpha=90.00 beta=90.00 gamma=90.00
Element x y z (fractional)
Sr (0.000, 0.000, 0.000)
Sr (0.000, 0.500, 0.266)
Sr (0.500, 0.000, 0.465)
Sr (0.500, 0.500, 0.781)
Li (0.000, 0.000, 0.691)
Li (0.000, 0.500, 0.559)
Li (0.500, 0.500, 0.079)
Cu (0.500, 0.000, 0.189)

=====

(3)
DFT (PBE) results for a relaxed CaDy2Pd3 crystal.

Summary:
* E_tot: -5.310 eV/atom
* formation enthalpy at 0 K: -846 meV/atom

Unit cell a=3.488 b=3.488 c=10.749 alpha=90.00 beta=90.00 gamma=90.00
Element x y z (fractional)
Ca (0.000, 0.000, 0.000)
Dy (0.000, 0.000, 0.333)
Dy (0.000, 0.000, 0.667)
Pd (0.500, 0.500, 0.185)
Pd (0.500, 0.500, 0.500)
Pd (0.500, 0.500, 0.815)

=====

(4)
DFT (PBE) results for a relaxed AcPr2Eu crystal.

Summary:
* energy relative to the lowest polymorph listed for this composition: 9 meV per atom
* E_tot: -5.935 eV/atom
* formation enthalpy at 0 K: 51 meV/atom

Unit cell a=5.364 b=5.364 c=5.431 alpha=90.00 beta=90.00 gamma=90.00
Element x y z (fractional)
Ac (0.000, 0.000, 0.000)
Pr (0.000, 0.500, 0.500)
Pr (0.500, 0.000, 0.500)
Eu (0.500, 0.500, 0.000)

=====

(5)
DFT (PBE) results for a relaxed TbCeGdPu crystal.

Summary:
* E_tot: -9.541 eV/atom
* formation enthalpy at 0 K: 203 meV/atom

Unit cell a=5.543 b=5.543 c=5.543 alpha=60.00 beta=60.00 gamma=60.00
Element x y z (fractional)
Tb (0.000, 0.000, 0.000)
Ce (0.500, 0.500, 0.500)
Gd (0.250, 0.250, 0.250)
Pu (0.750, 0.750, 0.750)

=====

(6)
DFT (PBE) results for a relaxed CaHf3Ir crystal.

Summary:
* energy relative to the lowest polymorph listed for this composition: 1860 meV per atom
* E_tot: -6.184 eV/atom
* formation enthalpy at 0 K: 1961 meV/atom

Unit cell a=4.800 b=4.800 c=4.800 alpha=90.00 beta=90.00 gamma=90.00
Element x y z (fractional)
Ca (0.000, 0.000, 0.000)
Hf (0.000, 0.000, 0.500)
Hf (0.000, 0.500, 0.000)
Hf (0.500, 0.000, 0.000)
Ir (0.500, 0.500, 0.500)

=====

(7)
DFT (PBE) results for a relaxed CaSc2Ta crystal.

Summary:
* energy relative to the lowest polymorph listed for this composition: 34 meV per atom
* E_tot: -6.379 eV/atom
* formation enthalpy at 0 K: 250 meV/atom

Unit cell a=3.260 b=4.031 c=7.731 alpha=90.00 beta=90.10 gamma=90.00
Element x y z (fractional)
Ca (0.000, 0.000, 0.000)
Sc (0.499, 0.500, 0.305)
Sc (0.501, 0.500, 0.695)
Ta (0.000, 0.000, 0.500)